[1]
Here is an optimized crystal structure of Mg2UInS6 from Alexandria via LeMat-Bulk. Energies are from PBE.

Output
- Space-group type: R3 (146)
- Formation energy without anion corrections: -1.092 eV per atom
- D(E_F): 3.83 states/eV/cell

a b c (Å): 7.0857 7.0857 7.0857
angles (deg): 55.15 55.15 55.15
Closest atoms and distances in Å follow each position.
Atoms (fractional coordinates):
Mg 0.0000 0.0000 0.0000  6 S 2.59-2.66
Mg 0.4946 0.4946 0.4946  6 S 2.56-2.70
U 0.6880 0.6880 0.6880  6 S 2.62-2.63
In 0.1945 0.1945 0.1945  6 S 2.60-2.71
S 0.0946 0.4060 0.7847  2 Mg 2.56-2.66, 1 U 2.62, 1 In 2.71
S 0.2820 0.8991 0.6017  2 Mg 2.59-2.70, 1 In 2.60, 1 U 2.63
S 0.4060 0.7847 0.0946  2 Mg 2.56-2.66, 1 U 2.62, 1 In 2.71
S 0.6017 0.2820 0.8991  2 Mg 2.59-2.70, 1 In 2.60, 1 U 2.63
S 0.7847 0.0946 0.4060  2 Mg 2.56-2.66, 1 U 2.62, 1 In 2.71
S 0.8991 0.6017 0.2820  2 Mg 2.59-2.70, 1 In 2.60, 1 U 2.63

[2]
Here is an optimized crystal structure of Mg2V3InS8 from Alexandria via LeMat-Bulk. Energies are from PBE.

Output
- Space-group type: R-3m (166)
- Formation energy without anion corrections: -0.920 eV per atom
- D(E_F): 13.74 states/eV/cell

a b c (Å): 7.4549 7.4549 7.4549
angles (deg): 58.37 58.37 58.37
Closest atoms and distances in Å follow each position.
Atoms (fractional coordinates):
Mg 0.1270 0.1270 0.1270  4 S 2.43-2.49
Mg 0.8730 0.8730 0.8730  4 S 2.43-2.49
V 0.0000 0.5000 0.5000  6 S 2.45-2.48
V 0.5000 0.0000 0.5000  6 S 2.45-2.48
V 0.5000 0.5000 0.0000  6 S 2.45-2.48
In 0.5000 0.5000 0.5000  6 S 2.62
S 0.2501 0.2501 0.7205  1 Mg 2.43, 2 V 2.45, 1 In 2.62
S 0.2501 0.7205 0.2501  1 Mg 2.43, 2 V 2.45, 1 In 2.62
S 0.2617 0.2617 0.2617  3 V 2.48, 1 Mg 2.49
S 0.2795 0.7499 0.7499  1 Mg 2.43, 2 V 2.45, 1 In 2.62
S 0.7205 0.2501 0.2501  1 Mg 2.43, 2 V 2.45, 1 In 2.62
S 0.7383 0.7383 0.7383  3 V 2.48, 1 Mg 2.49
S 0.7499 0.2795 0.7499  1 Mg 2.43, 2 V 2.45, 1 In 2.62
S 0.7499 0.7499 0.2795  1 Mg 2.43, 2 V 2.45, 1 In 2.62

[3]
Here is an optimized crystal structure of Mg2VIn3S8 from Alexandria via LeMat-Bulk. Energies are from PBE.

Output
- Space-group type: R-3m (166)
- Formation energy without anion corrections: -0.834 eV per atom
- D(E_F): 7.39 states/eV/cell

a b c (Å): 7.5729 7.5729 7.5729
angles (deg): 60.31 60.31 60.31
Closest atoms and distances in Å follow each position.
Atoms (fractional coordinates):
Mg 0.1244 0.1244 0.1244  4 S 2.45-2.49
Mg 0.8756 0.8756 0.8756  4 S 2.45-2.49
V 0.5000 0.5000 0.5000  6 S 2.48
In 0.0000 0.5000 0.5000  6 S 2.61-2.65
In 0.5000 0.0000 0.5000  6 S 2.61-2.65
In 0.5000 0.5000 0.0000  6 S 2.61-2.65
S 0.2571 0.2571 0.2571  1 Mg 2.45, 3 In 2.61
S 0.2687 0.2687 0.7241  1 V 2.48, 1 Mg 2.49, 2 In 2.65
S 0.2687 0.7241 0.2687  1 V 2.48, 1 Mg 2.49, 2 In 2.65
S 0.2759 0.7313 0.7313  1 V 2.48, 1 Mg 2.49, 2 In 2.65
S 0.7241 0.2687 0.2687  1 V 2.48, 1 Mg 2.49, 2 In 2.65
S 0.7313 0.2759 0.7313  1 V 2.48, 1 Mg 2.49, 2 In 2.65
S 0.7313 0.7313 0.2759  1 V 2.48, 1 Mg 2.49, 2 In 2.65
S 0.7429 0.7429 0.7429  1 Mg 2.45, 3 In 2.61

[4]
Here is an optimized crystal structure of MgInWS4 from Alexandria via LeMat-Bulk. Energies are from PBE.

Output
- Space-group type: Imma (74)
- Formation energy without anion corrections: -0.595 eV per atom
- D(E_F): 6.20 states/eV/cell

a b c (Å): 7.5863 7.5863 7.5863
angles (deg): 120.52 120.52 89.10
Closest atoms and distances in Å follow each position.
Atoms (fractional coordinates):
Mg 0.3716 0.1216 0.2500  4 S 2.47-2.53
Mg 0.6284 0.8784 0.7500  4 S 2.47-2.53
In 0.0000 0.5000 0.5000  6 S 2.64-2.68
In 0.5000 0.5000 0.0000  6 S 2.64-2.68
W 0.0000 0.0000 0.5000  6 S 2.47-2.52
W 0.0000 0.5000 0.0000  6 S 2.47-2.52
S 0.2186 0.7468 0.4718  2 W 2.52, 1 Mg 2.53, 1 In 2.68
S 0.2250 0.2532 0.9718  2 W 2.52, 1 Mg 2.53, 1 In 2.68
S 0.2288 0.2344 0.5056  1 Mg 2.47, 1 W 2.47, 2 In 2.64
S 0.2288 0.7232 0.9944  1 Mg 2.47, 1 W 2.47, 2 In 2.64
S 0.7712 0.2768 0.0056  1 Mg 2.47, 1 W 2.47, 2 In 2.64
S 0.7712 0.7656 0.4944  1 Mg 2.47, 1 W 2.47, 2 In 2.64
S 0.7750 0.7468 0.0282  2 W 2.52, 1 Mg 2.53, 1 In 2.68
S 0.7814 0.2532 0.5282  2 W 2.52, 1 Mg 2.53, 1 In 2.68

[5]
Here is an optimized crystal structure of Mg2InW3S8 from Alexandria via LeMat-Bulk. Energies are from PBE.

Output
- Space-group type: R3m (160)
- Formation energy without anion corrections: -0.706 eV per atom
- D(E_F): 4.58 states/eV/cell

a b c (Å): 7.6873 7.6873 7.6873
angles (deg): 54.34 54.34 54.34
Closest atoms and distances in Å follow each position.
Atoms (fractional coordinates):
Mg 0.0000 0.0000 0.0000  4 S 2.48-2.61
Mg 0.2574 0.2574 0.2574  4 S 2.36-2.47
In 0.6538 0.6538 0.6538  6 S 2.61-2.71
W 0.1954 0.6074 0.6074  5 S 2.37-2.56
W 0.6074 0.1954 0.6074  5 S 2.37-2.56
W 0.6074 0.6074 0.1954  5 S 2.37-2.56
S 0.3834 0.3834 0.3834  3 W 2.38, 1 Mg 2.47
S 0.4013 0.4013 0.8518  1 Mg 2.36, 2 W 2.37
S 0.4013 0.8518 0.4013  1 Mg 2.36, 2 W 2.37
S 0.4081 0.9036 0.9036  1 Mg 2.48, 2 W 2.56, 1 In 2.61
S 0.8518 0.4013 0.4013  1 Mg 2.36, 2 W 2.37
S 0.8668 0.8668 0.8668  1 Mg 2.61, 3 W 2.69
S 0.9036 0.4081 0.9036  1 Mg 2.48, 2 W 2.56, 1 In 2.61
S 0.9036 0.9036 0.4081  1 Mg 2.48, 2 W 2.56, 1 In 2.61

[6]
Here is an optimized crystal structure of Mg2In3WS8 from Alexandria via LeMat-Bulk. Energies are from PBE.

Output
- Space-group type: R-3m (166)
- Formation energy without anion corrections: -0.713 eV per atom
- D(E_F): 1.49 states/eV/cell

a b c (Å): 7.6597 7.6597 7.6597
angles (deg): 59.52 59.52 59.52
Closest atoms and distances in Å follow each position.
Atoms (fractional coordinates):
Mg 0.1266 0.1266 0.1266  4 S 2.45-2.51
Mg 0.8734 0.8734 0.8734  4 S 2.45-2.51
In 0.0000 0.5000 0.5000  6 S 2.62-2.66
In 0.5000 0.0000 0.5000  6 S 2.62-2.66
In 0.5000 0.5000 0.0000  6 S 2.62-2.66
W 0.5000 0.5000 0.5000  6 S 2.50
S 0.2569 0.2569 0.2569  1 Mg 2.45, 3 In 2.62
S 0.2683 0.2683 0.7232  1 W 2.50, 1 Mg 2.51, 2 In 2.66
S 0.2683 0.7232 0.2683  1 W 2.50, 1 Mg 2.51, 2 In 2.66
S 0.2768 0.7317 0.7317  1 W 2.50, 1 Mg 2.51, 2 In 2.66
S 0.7232 0.2683 0.2683  1 W 2.50, 1 Mg 2.51, 2 In 2.66
S 0.7317 0.2768 0.7317  1 W 2.50, 1 Mg 2.51, 2 In 2.66
S 0.7317 0.7317 0.2768  1 W 2.50, 1 Mg 2.51, 2 In 2.66
S 0.7431 0.7431 0.7431  1 Mg 2.45, 3 In 2.62

[7]
Here is an optimized crystal structure of YMgInS4 from Alexandria via LeMat-Bulk. Energies are from PBE.

Output
- Space-group type: Imma (74)
- Formation energy without anion corrections: -1.335 eV per atom

a b c (Å): 7.7796 7.7796 7.7796
angles (deg): 120.09 119.80 90.09
Closest atoms and distances in Å follow each position.
Atoms (fractional coordinates):
Y 0.0000 0.0000 0.0000  6 S 2.72-2.73
Y 0.5000 0.0000 0.5000  6 S 2.72-2.73
Mg 0.5000 0.0000 0.0000  6 S 2.63-2.65
Mg 0.5000 0.5000 0.5000  6 S 2.63-2.65
In 0.1179 0.3679 0.7500  4 S 2.50-2.52
In 0.8821 0.6321 0.2500  4 S 2.50-2.52
S 0.2592 0.2532 0.4940  1 In 2.52, 1 Mg 2.65, 2 Y 2.72
S 0.2592 0.7651 0.0060  1 In 2.52, 1 Mg 2.65, 2 Y 2.72
S 0.2705 0.2478 0.0227  1 In 2.50, 2 Mg 2.63, 1 Y 2.73
S 0.2749 0.7522 0.5227  1 In 2.50, 2 Mg 2.63, 1 Y 2.73
S 0.7251 0.2478 0.4773  1 In 2.50, 2 Mg 2.63, 1 Y 2.73
S 0.7295 0.7522 0.9773  1 In 2.50, 2 Mg 2.63, 1 Y 2.73
S 0.7408 0.2349 0.9940  1 In 2.52, 1 Mg 2.65, 2 Y 2.72
S 0.7408 0.7468 0.5060  1 In 2.52, 1 Mg 2.65, 2 Y 2.72

[8]
Here is an optimized crystal structure of MgIn2Sb from Alexandria via LeMat-Bulk. Energies are from PBE.

Output
- Distance to the lowest polymorph of the same formula: 117.3 meV/atom
- Space-group type: Fm-3m (225)
- Formation energy without anion corrections: 0.045 eV per atom
- D(E_F): 3.34 states/eV/cell

a b c (Å): 5.3410 5.3410 5.3410
angles (deg): 60.00 60.00 60.00
Closest atoms and distances in Å follow each position.
Atoms (fractional coordinates):
Mg 0.0000 0.0000 0.0000  8 In 3.27
In 0.2500 0.2500 0.2500  4 Sb 3.27, 4 Mg 3.27
In 0.7500 0.7500 0.7500  4 Sb 3.27, 4 Mg 3.27
Sb 0.5000 0.5000 0.5000  8 In 3.27

[9]
Here is an optimized crystal structure of MgIn2Sb from Alexandria via LeMat-Bulk. Energies are from PBE.

Output
- Distance to the lowest polymorph of the same formula: 24.5 meV/atom
- Space-group type: Pmm2 (25)
- Formation energy without anion corrections: -0.048 eV per atom
- D(E_F): 1.31 states/eV/cell

a b c (Å): 3.3585 4.2657 7.3168
angles (deg): 90.00 90.00 90.00
Closest atoms and distances in Å follow each position.
Atoms (fractional coordinates):
Mg 0.0000 0.0000 0.0000  4 Sb 3.08, 4 In 3.27, 2 Mg 3.36
In 0.0000 0.0000 0.4942  6 In 3.30-3.36, 4 Sb 3.47, 1 Mg 3.62
In 0.5000 0.5000 0.7500  4 Mg 3.27, 1 Sb 3.28, 6 In 3.30-3.36
Sb 0.5000 0.5000 0.1988  4 Mg 3.08, 1 In 3.28, 2 Sb 3.36

[10]
Here is an optimized crystal structure of MgIn4Sb from Alexandria via LeMat-Bulk. Energies are from PBE.

Output
- Space-group type: F-43m (216)
- Formation energy without anion corrections: 0.167 eV per atom
- D(E_F): 2.64 states/eV/cell

a b c (Å): 6.1792 6.1792 6.1792
angles (deg): 60.00 60.00 60.00
Closest atoms and distances in Å follow each position.
Atoms (fractional coordinates):
Mg 0.0000 0.0000 0.0000  12 In 3.62, 4 Sb 3.78
In 0.3750 0.3750 0.3750  6 In 3.09
In 0.3750 0.3750 0.8751  6 In 3.09
In 0.3750 0.8751 0.3750  6 In 3.09
In 0.8751 0.3750 0.3750  6 In 3.09
Sb 0.7500 0.7500 0.7500  12 In 3.62, 4 Mg 3.78

[11]
Here is an optimized crystal structure of Mg6In5Sb from Alexandria via LeMat-Bulk. Energies are from PBE.

Output
- Space-group type: P2/m (10)
- Formation energy without anion corrections: -0.099 eV per atom
- D(E_F): 4.48 states/eV/cell

a b c (Å): 5.4453 6.6397 7.9031
angles (deg): 90.00 95.05 90.00
Closest atoms and distances in Å follow each position.
Atoms (fractional coordinates):
Mg 0.0000 0.2482 0.0000  6 In 3.15-3.20, 2 Sb 3.18, 4 Mg 3.30-3.34
Mg 0.0000 0.7518 0.0000  6 In 3.15-3.20, 2 Sb 3.18, 4 Mg 3.30-3.34
Mg 0.3373 0.2493 0.6678  1 Sb 3.16, 7 In 3.17-3.22, 4 Mg 3.31-3.33
Mg 0.3373 0.7507 0.6678  1 Sb 3.16, 7 In 3.17-3.22, 4 Mg 3.31-3.33
Mg 0.6627 0.2493 0.3322  1 Sb 3.16, 7 In 3.17-3.22, 4 Mg 3.31-3.33
Mg 0.6627 0.7507 0.3322  1 Sb 3.16, 7 In 3.17-3.22, 4 Mg 3.31-3.33
In 0.1629 0.0000 0.3347  8 Mg 3.18-3.19, 3 In 3.28-3.32, 1 Sb 3.35
In 0.1674 0.5000 0.3285  8 Mg 3.15-3.22, 4 In 3.29-3.40
In 0.5000 0.5000 0.0000  8 Mg 3.17-3.20, 2 In 3.29, 2 Sb 3.32
In 0.8326 0.5000 0.6715  8 Mg 3.15-3.22, 4 In 3.29-3.40
In 0.8371 0.0000 0.6653  8 Mg 3.18-3.19, 3 In 3.28-3.32, 1 Sb 3.35
Sb 0.5000 0.0000 0.0000  8 Mg 3.16-3.18, 4 In 3.32-3.35

[12]
Here is an optimized crystal structure of MgIn2Sb from Alexandria via LeMat-Bulk. Energies are from PBE.

Output
- Distance to the lowest polymorph of the same formula: 66.9 meV/atom
- Space-group type: Cmmm (65)
- Formation energy without anion corrections: -0.005 eV per atom
- D(E_F): 2.47 states/eV/cell

a b c (Å): 5.9085 5.9085 3.3173
angles (deg): 90.00 90.00 115.30
Closest atoms and distances in Å follow each position.
Atoms (fractional coordinates):
Mg 0.0000 0.0000 0.0000  2 Sb 3.16, 2 Mg 3.32, 8 In 3.39
In 0.0000 0.5000 0.5000  4 In 3.16-3.32, 4 Sb 3.39, 4 Mg 3.39
In 0.5000 0.0000 0.5000  4 In 3.16-3.32, 4 Sb 3.39, 4 Mg 3.39
Sb 0.5000 0.5000 0.0000  2 Mg 3.16, 2 Sb 3.32, 8 In 3.39